# 1
First-principles (PBE) data for a relaxed structure of La2AsPt3, as listed in the Alexandria database.

Cell: 8.9142 8.7098 5.9895 Å, 71.98 68.30 39.71°
Fractional coordinates of all 12 atoms:
La1 0.2403 0.7597 0.7597
La2 0.2500 0.2500 0.2500
La3 0.7500 0.7500 0.7500
La4 0.7597 0.2403 0.2403
As1 0.3345 0.3345 0.6655
As2 0.6655 0.6655 0.3345
Pt1 0.1707 0.6590 0.3410
Pt2 0.1717 0.1717 0.8283
Pt3 0.3410 0.8293 0.1707
Pt4 0.6590 0.1707 0.8293
Pt5 0.8283 0.8283 0.1717
Pt6 0.8293 0.3410 0.6590

**Final energy**: -6.604 eV per atom
**Calculated volume**: 138 Å³/f.u.

# 2
First-principles (PBE) data for a relaxed structure of VZn2Pt2, as listed in the Alexandria database.

Cell: 6.7311 6.7311 3.5448 Å, 90.00 90.00 90.00°
Fractional coordinates of all 10 atoms:
V1 0.0000 0.0000 0.0000
V2 0.5000 0.5000 0.0000
Zn1 0.1601 0.3399 0.5000
Zn2 0.3399 0.8399 0.5000
Zn3 0.6601 0.1601 0.5000
Zn4 0.8399 0.6601 0.5000
Pt1 0.1417 0.6417 0.0000
Pt2 0.3583 0.1417 0.0000
Pt3 0.6417 0.8583 0.0000
Pt4 0.8583 0.3583 0.0000

**Final energy**: -4.964 eV per atom
**Excess energy over the best structure of this formula in the dataset**: 88.4 meV per atom
**Calculated volume**: 80 Å³/f.u.

# 3
First-principles (PBE) data for a relaxed structure of Cs2Ba2Ag, as listed in the Alexandria database.

Cell: 9.0489 9.0489 8.2470 Å, 90.00 90.00 90.00°
Fractional coordinates of all 10 atoms:
Cs1 0.1836 0.3164 0.0000
Cs2 0.3164 0.8164 0.0000
Cs3 0.6836 0.1836 0.0000
Cs4 0.8164 0.6836 0.0000
Ba1 0.1759 0.6759 0.5000
Ba2 0.3241 0.1759 0.5000
Ba3 0.6759 0.8241 0.5000
Ba4 0.8241 0.3241 0.5000
Ag1 0.0000 0.0000 0.5000
Ag2 0.5000 0.5000 0.5000

**Final energy**: -1.568 eV per atom
**Calculated volume**: 338 Å³/f.u.

# 4
First-principles (PBE) data for a relaxed structure of Pd4S, as listed in the Alexandria database.

Cell: 7.0422 7.0422 5.1180 Å, 104.04 104.04 130.20°
Fractional coordinates of all 10 atoms:
Pd1 0.0469 0.3974 0.1845
Pd2 0.1944 0.2909 0.7474
Pd3 0.2909 0.1944 0.2474
Pd4 0.3974 0.0469 0.6845
Pd5 0.6026 0.9531 0.3155
Pd6 0.7091 0.8056 0.7526
Pd7 0.8056 0.7091 0.2526
Pd8 0.9531 0.6026 0.8155
S1 0.3219 0.6781 0.7500
S2 0.6781 0.3219 0.2500

**Final energy**: -5.041 eV per atom
**Excess energy over the best structure of this formula in the dataset**: 105.4 meV per atom
**ΔE_f (raw)**: -0.062 eV/atom
**Calculated volume**: 79 Å³/f.u.

# 5
First-principles (PBE) data for a relaxed structure of Ta4Co2Si5, as listed in the Alexandria database.

Cell: 9.1628 9.1628 9.1628 Å, 128.67 61.45 148.55°
Fractional coordinates of all 22 atoms:
Ta1 0.0622 0.7428 0.8050
Ta2 0.1408 0.1066 0.2473
Ta3 0.3592 0.6066 0.9658
Ta4 0.4378 0.2428 0.6806
Ta5 0.5622 0.7572 0.3194
Ta6 0.6408 0.3934 0.0342
Ta7 0.8592 0.8934 0.7527
Ta8 0.9378 0.2572 0.1950
Co1 0.0504 0.7500 0.3004
Co2 0.4496 0.7500 0.6996
Co3 0.5504 0.2500 0.3004
Co4 0.9496 0.2500 0.6996
Si1 0.0777 0.4214 0.4991
Si2 0.2217 0.7950 0.0167
Si3 0.2500 0.2500 0.0000
Si4 0.2783 0.2950 0.5734
Si5 0.4223 0.9214 0.3437
Si6 0.5777 0.0786 0.6563
Si7 0.7217 0.7050 0.4266
Si8 0.7500 0.7500 0.0000
Si9 0.7783 0.2050 0.9833
Si10 0.9223 0.5786 0.5009

**Final energy**: -8.544 eV per atom
**ΔE_f (raw)**: -0.477 eV/atom
**Calculated volume**: 155 Å³/f.u.

# 6
First-principles (PBE) data for a relaxed structure of Y6Ho7, as listed in the Alexandria database.

Cell: 12.2631 12.2631 12.2631 Å, 30.82 30.82 30.82°
Fractional coordinates of all 13 atoms:
Y1 0.0464 0.0464 0.0464
Y2 0.1480 0.1480 0.1480
Y3 0.3333 0.3333 0.3333
Y4 0.6667 0.6667 0.6667
Y5 0.8520 0.8520 0.8520
Y6 0.9536 0.9536 0.9536
Ho1 0.0850 0.5906 0.5906
Ho2 0.4094 0.4094 0.9150
Ho3 0.4094 0.9150 0.4094
Ho4 0.5000 0.5000 0.5000
Ho5 0.5906 0.0850 0.5906
Ho6 0.5906 0.5906 0.0850
Ho7 0.9150 0.4094 0.4094

**Final energy**: -5.213 eV per atom
**Calculated volume**: 429 Å³/f.u.

# 7
First-principles (PBE) data for a relaxed structure of RbNbTe, as listed in the Alexandria database.

Cell: 3.5747 4.8544 6.7795 Å, 78.97 89.86 68.73°
Fractional coordinates of all 3 atoms:
Rb1 0.0000 0.0000 0.0000
Nb1 0.3383 0.3234 0.4627
Te1 0.6448 0.7152 0.5706

**Final energy**: -4.335 eV per atom
**Excess energy over the best structure of this formula in the dataset**: 805.3 meV per atom
**ΔE_f (raw)**: 0.392 eV/atom
**Calculated volume**: 107 Å³/f.u.

# 8
First-principles (PBE) data for a relaxed structure of Tb3YEr6, as listed in the Alexandria database.

Cell: 5.4585 8.4227 8.6943 Å, 118.45 108.03 90.51°
Fractional coordinates of all 10 atoms:
Tb1 0.0000 0.0000 0.0000
Tb2 0.2295 0.1915 0.4569
Tb3 0.7705 0.8085 0.5431
Y1 0.5000 0.5000 0.0000
Er1 0.1368 0.6937 0.2753
Er2 0.3456 0.6490 0.6993
Er3 0.3873 0.0556 0.7728
Er4 0.6127 0.9444 0.2272
Er5 0.6544 0.3510 0.3007
Er6 0.8632 0.3063 0.7247

**Final energy**: -4.530 eV per atom
**Excess energy over the best structure of this formula in the dataset**: 87.3 meV per atom
**Calculated volume**: 328 Å³/f.u.

# 9
First-principles (PBE) data for a relaxed structure of Ba2GaI, as listed in the Alexandria database.

Cell: 4.6262 4.6262 28.3210 Å, 90.00 90.00 120.00°
Fractional coordinates of all 12 atoms:
Ba1 0.0000 0.0000 0.0000
Ba2 0.0000 0.0000 0.1831
Ba3 0.3333 0.6667 0.6667
Ba4 0.3333 0.6667 0.8498
Ba5 0.6667 0.3333 0.3333
Ba6 0.6667 0.3333 0.5165
Ga1 0.0000 0.0000 0.5911
Ga2 0.3333 0.6667 0.2578
Ga3 0.6667 0.3333 0.9245
I1 0.0000 0.0000 0.7587
I2 0.3333 0.6667 0.4254
I3 0.6667 0.3333 0.0920

**Final energy**: -2.906 eV per atom
**Excess energy over the best structure of this formula in the dataset**: 42.8 meV per atom
**ΔE_f (raw)**: -0.800 eV/atom
**Calculated volume**: 175 Å³/f.u.

# 10
First-principles (PBE) data for a relaxed structure of TlPdIN2, as listed in the Alexandria database.

Cell: 4.3440 4.3440 5.9296 Å, 90.00 90.00 90.00°
Fractional coordinates of all 5 atoms:
Tl1 0.0000 0.0000 0.0000
Pd1 0.5000 0.5000 0.5000
I1 0.5000 0.5000 0.0000
N1 0.0000 0.5000 0.5000
N2 0.5000 0.0000 0.5000

**Final energy**: -3.832 eV per atom
**Excess energy over the best structure of this formula in the dataset**: 0.0 meV per atom
**ΔE_f (raw)**: 1.320 eV/atom
**Calculated volume**: 112 Å³/f.u.

# 11
First-principles (PBE) data for a relaxed structure of GaNiRh, as listed in the Alexandria database.

Cell: 4.1737 2.7738 4.2322 Å, 90.00 97.65 90.00°
Fractional coordinates of all 3 atoms:
Ga1 0.0000 0.0000 0.0000
Ni1 0.5000 0.0000 0.5000
Rh1 0.5000 0.5000 0.0000

**Final energy**: -5.451 eV per atom
**Calculated volume**: 49 Å³/f.u.

# 12
First-principles (PBE) data for a relaxed structure of Li3CeTl2F12, as listed in the Alexandria database.

Cell: 6.7700 6.7700 6.7700 Å, 59.38 59.38 59.38°
Fractional coordinates of all 18 atoms:
Li1 0.0000 0.5000 0.5000
Li2 0.5000 0.0000 0.5000
Li3 0.5000 0.5000 0.0000
Ce1 0.5000 0.5000 0.5000
Tl1 0.1040 0.1040 0.1040
Tl2 0.8960 0.8960 0.8960
F1 0.0673 0.6647 0.6647
F2 0.2385 0.2385 0.6594
F3 0.2385 0.6594 0.2385
F4 0.3353 0.3353 0.9327
F5 0.3353 0.9327 0.3353
F6 0.3406 0.7615 0.7615
F7 0.6594 0.2385 0.2385
F8 0.6647 0.0673 0.6647
F9 0.6647 0.6647 0.0673
F10 0.7615 0.3406 0.7615
F11 0.7615 0.7615 0.3406
F12 0.9327 0.3353 0.3353

**Final energy**: -4.738 eV per atom
**ΔE_f (raw)**: -2.579 eV/atom
**Calculated volume**: 216 Å³/f.u.

Question: calculated volume of number 2 (VZn2Pt2)?
Answer: 80 Å³/f.u.

Question: Look up the calculated volume of the eighth one.
Answer: 328 Å³/f.u.